*A*
Here is a relaxed CoOsW2 crystal from Alexandria. Energies are from GGA-PBE.

Cell: 4.689 4.689 4.709 Å, 79.82 79.82 34.63°
Each line ends with the local moment (μB).
Fractional positions:
Co  0.502  0.502  0.519  0.20
Os  0.242  0.242  0.243  0.01
W  0.995  0.995  0.020  -0.01
W  0.760  0.760  0.718  -0.01

Values from the calculation:
total magnetization: 0.18 Bohr magnetons per cell

*B*
Here is a relaxed CoOsW2 crystal from Alexandria. Energies are from GGA-PBE.

Cell: 2.752 2.752 7.544 Å, 90.00 90.00 90.02°
Fractional positions:
Co  0.500  0.500  0.250
Os  0.500  0.500  0.750
W  0.000  0.000  0.010
W  0.000  0.000  0.490

Values from the calculation:
total magnetization: 0.00 Bohr magnetons per cell

*C*
Here is a relaxed CoOsW2 crystal from Alexandria. Energies are from GGA-PBE.

Cell: 3.852 3.852 9.014 Å, 77.66 77.66 90.00°
Fractional positions:
Co  0.500  0.500  0.000
Co  0.250  0.750  0.500
Os  0.000  0.000  0.000
Os  0.750  0.250  0.500
W  0.607  0.125  0.250
W  0.143  0.625  0.250
W  0.375  0.393  0.750
W  0.875  0.857  0.750

Values from the calculation:
total magnetization: 0.01 Bohr magnetons per cell

*D*
Here is a relaxed CoOsW2 crystal from Alexandria. Energies are from GGA-PBE.

Cell: 4.359 4.359 4.359 Å, 60.00 60.00 60.00°
Each line ends with the local moment (μB).
Fractional positions:
Co  0.000  0.000  0.000  1.21
Os  0.500  0.500  0.500  0.07
W  0.250  0.250  0.250  0.20
W  0.750  0.750  0.750  0.20

Values from the calculation:
total magnetization: 1.73 Bohr magnetons per cell

Energetically preferred structure: *B* | next structure: +0.058 eV/atom

*A*
Here is a relaxed CoOsW2 crystal from Alexandria. Energies are from GGA-PBE.

Cell: 3.869 3.871 3.817 Å, 90.00 90.00 90.00°
Fractional positions:
Co  0.500  0.000  0.500
Os  0.000  0.500  0.500
W  0.000  0.000  0.000
W  0.500  0.500  0.000

Values from the calculation:
total magnetization: 0.00 Bohr magnetons per cell

*B*
Here is a relaxed CoOsW2 crystal from Alexandria. Energies are from GGA-PBE.

Cell: 8.991 8.991 8.991 Å, 17.60 17.60 17.60°
Fractional positions:
Co  0.250  0.250  0.250
Os  0.750  0.750  0.750
W  0.997  0.997  0.997
W  0.503  0.503  0.503

Values from the calculation:
total magnetization: 0.00 Bohr magnetons per cell

Energetically preferred structure: *A* | next structure: +0.198 eV/atom

*A*
Here is a relaxed CoOsW2 crystal from Alexandria. Energies are from GGA-PBE.

Cell: 2.727 2.727 7.731 Å, 90.00 90.00 90.01°
Fractional positions:
Co  0.000  0.000  0.507
Os  0.500  0.500  0.733
W  0.000  0.000  0.988
W  0.500  0.500  0.273

Values from the calculation:
total magnetization: 0.00 Bohr magnetons per cell

*B*
Here is a relaxed CoOsW2 crystal from Alexandria. Energies are from GGA-PBE.

Cell: 4.354 4.354 4.354 Å, 60.00 60.00 60.00°
Each line ends with the local moment (μB).
Fractional positions:
Co  0.500  0.500  0.500  1.18
Os  0.750  0.750  0.750  0.18
W  0.000  0.000  0.000  0.04
W  0.250  0.250  0.250  0.12

Values from the calculation:
total magnetization: 1.53 Bohr magnetons per cell

Energetically preferred structure: *A* | next structure: +0.081 eV/atom

*A*
Here is a relaxed CoOsW2 crystal from Alexandria. Energies are from GGA-PBE.

Cell: 9.078 9.078 9.078 Å, 17.41 17.41 17.41°
Each line ends with the local moment (μB).
Fractional positions:
Co  0.500  0.500  0.500  0.50
Os  0.753  0.753  0.753  0.05
W  0.003  0.003  0.003  0.00
W  0.244  0.244  0.244  -0.06

Values from the calculation:
total magnetization: 0.46 Bohr magnetons per cell

*B*
Here is a relaxed CoOsW2 crystal from Alexandria. Energies are from GGA-PBE.

Cell: 4.706 4.706 4.733 Å, 80.53 80.53 34.08°
Each line ends with the local moment (μB).
Fractional positions:
Co  0.750  0.750  0.750  0.16
Os  0.250  0.250  0.250  -0.01
W  0.004  0.004  0.992  -0.01
W  0.496  0.496  0.508  -0.01

Values from the calculation:
total magnetization: 0.12 Bohr magnetons per cell

Energetically preferred structure: *B* | next structure: +0.071 eV/atom

*A*
Here is a relaxed CoOsW crystal from Alexandria. Energies are from GGA-PBE.

Cell: 4.235 4.235 2.677 Å, 90.00 90.00 120.00°
Fractional positions:
Co  0.000  0.000  0.868
Os  0.667  0.333  0.350
W  0.333  0.667  0.782

Values from the calculation:
total magnetization: 0.00 Bohr magnetons per cell

*B*
Here is a relaxed CoOsW crystal from Alexandria. Energies are from GGA-PBE.

Cell: 5.953 5.953 2.701 Å, 76.89 76.89 26.22°
Each line ends with the local moment (μB).
Fractional positions:
Co  0.996  0.996  0.004  0.74
Os  0.343  0.343  0.657  0.31
W  0.661  0.661  0.339  0.03

Values from the calculation:
total magnetization: 1.07 Bohr magnetons per cell

*C*
Here is a relaxed CoOsW crystal from Alexandria. Energies are from GGA-PBE.

Cell: 4.666 4.666 4.666 Å, 146.16 131.99 60.03°
Each line ends with the local moment (μB).
Fractional positions:
Co  0.996  0.996  0.000  1.11
Os  0.338  0.338  0.000  0.21
W  0.665  0.665  0.000  -0.03

Values from the calculation:
total magnetization: 1.27 Bohr magnetons per cell

*D*
Here is a relaxed CoOsW crystal from Alexandria. Energies are from GGA-PBE.

Cell: 4.762 4.762 4.762 Å, 141.29 141.29 55.91°
Each line ends with the local moment (μB).
Fractional positions:
Co  0.006  0.006  0.000  1.19
Os  0.332  0.332  0.000  0.14
W  0.662  0.662  0.000  -0.04

Values from the calculation:
total magnetization: 1.28 Bohr magnetons per cell

Energetically preferred structure: *C* | next structure: +0.032 eV/atom

*A*
Here is a relaxed CoOsW3 crystal from Alexandria. Energies are from GGA-PBE.

Cell: 4.703 4.703 4.703 Å, 90.00 90.00 90.00°
Fractional positions:
Co  0.500  0.500  0.500
Os  0.000  0.000  0.000
W  0.000  0.500  0.000
W  0.000  0.000  0.500
W  0.500  0.000  0.000

Values from the calculation:
total magnetization: 0.00 Bohr magnetons per cell

*B*
Here is a relaxed CoOsW3 crystal from Alexandria. Energies are from GGA-PBE.

Cell: 4.391 4.391 4.391 Å, 90.00 90.00 90.00°
Fractional positions:
Co  0.000  0.000  0.000
Os  0.500  0.500  0.500
W  0.000  0.500  0.000
W  0.000  0.000  0.500
W  0.500  0.000  0.000

Values from the calculation:
total magnetization: 0.00 Bohr magnetons per cell

Energetically preferred structure: *B* | next structure: +0.796 eV/atom

*A*
Here is a relaxed Co2OsW2 crystal from Alexandria. Energies are from GGA-PBE.

Cell: 3.986 3.986 5.416 Å, 68.41 68.41 90.00°
Fractional positions:
Co  0.389  0.389  0.222
Co  0.611  0.611  0.778
Os  0.000  0.000  0.000
W  0.750  0.250  0.500
W  0.250  0.750  0.500

Values from the calculation:
total magnetization: 0.00 Bohr magnetons per cell

*B*
Here is a relaxed Co2OsW2 crystal from Alexandria. Energies are from GGA-PBE.

Cell: 6.682 6.682 3.010 Å, 90.00 90.00 90.00°
Fractional positions:
Co  0.376  0.876  0.000
Co  0.876  0.624  0.000
Co  0.624  0.124  0.000
Co  0.124  0.376  0.000
Os  0.000  0.000  0.000
Os  0.500  0.500  0.000
W  0.177  0.677  0.500
W  0.677  0.823  0.500
W  0.823  0.323  0.500
W  0.323  0.177  0.500

Values from the calculation:
total magnetization: 0.00 Bohr magnetons per cell

Energetically preferred structure: *B* | next structure: +0.604 eV/atom

*A*
Here is a relaxed YCoOs2 crystal from Alexandria. Energies are from GGA-PBE.

Cell: 2.929 2.929 7.449 Å, 90.00 90.00 90.00°
Each line ends with the local moment (μB).
Fractional positions:
Co  0.500  0.500  0.750  0.33
Os  0.000  0.000  0.945  -0.02
Os  0.000  0.000  0.555  -0.02
Y  0.500  0.500  0.250  -0.01

Values from the calculation:
total magnetization: 0.24 Bohr magnetons per cell

*B*
Here is a relaxed YCoOs2 crystal from Alexandria. Energies are from GGA-PBE.

Cell: 4.482 2.917 5.102 Å, 78.71 90.00 90.00°
Each line ends with the local moment (μB).
Fractional positions:
Co  0.500  0.750  0.750  1.27
Os  0.000  0.922  0.966  0.21
Os  0.000  0.578  0.534  0.21
Y  0.500  0.250  0.250  -0.05

Values from the calculation:
total magnetization: 1.63 Bohr magnetons per cell

*C*
Here is a relaxed YCoOs2 crystal from Alexandria. Energies are from GGA-PBE.

Cell: 4.523 4.523 4.523 Å, 60.00 60.00 60.00°
Each line ends with the local moment (μB).
Fractional positions:
Y  0.500  0.500  0.500  0.04
Co  0.000  0.000  0.000  2.09
Os  0.250  0.250  0.250  0.78
Os  0.750  0.750  0.750  0.78

Values from the calculation:
total magnetization: 3.71 Bohr magnetons per cell

Energetically preferred structure: *A* | next structure: +0.032 eV/atom

*A*
Here is a relaxed YCoOs2 crystal from Alexandria. Energies are from GGA-PBE.

Cell: 4.762 4.762 5.159 Å, 77.91 77.91 36.43°
Each line ends with the local moment (μB).
Fractional positions:
Co  0.264  0.264  0.205  0.58
Os  0.999  0.999  0.974  0.05
Os  0.737  0.737  0.843  0.00
Y  0.500  0.500  0.477  -0.04

Values from the calculation:
total magnetization: 0.56 Bohr magnetons per cell

*B*
Here is a relaxed YCoOs2 crystal from Alexandria. Energies are from GGA-PBE.

Cell: 2.937 2.937 7.507 Å, 90.00 90.00 90.00°
Each line ends with the local moment (μB).
Fractional positions:
Co  0.500  0.500  0.790  1.21
Os  0.000  0.000  0.990  0.23
Os  0.500  0.500  0.208  -0.12
Y  0.000  0.000  0.512  -0.12

Values from the calculation:
total magnetization: 1.13 Bohr magnetons per cell

Energetically preferred structure: *B* | next structure: +0.057 eV/atom

*A*
Here is a relaxed YCoOs2 crystal from Alexandria. Energies are from GGA-PBE.

Cell: 5.419 5.419 2.819 Å, 77.34 77.34 120.43°
Each line ends with the local moment (μB).
Fractional positions:
Co  0.000  0.500  0.500  1.33
Os  0.000  0.000  0.000  0.14
Os  0.500  0.500  0.000  0.14
Y  0.500  0.000  0.500  -0.08

Values from the calculation:
total magnetization: 1.50 Bohr magnetons per cell

*B*
Here is a relaxed YCoOs2 crystal from Alexandria. Energies are from GGA-PBE.

Cell: 4.204 4.204 9.343 Å, 77.00 77.00 90.00°
Each line ends with the local moment (μB).
Fractional positions:
Y  0.000  0.000  0.000  0.02
Y  0.750  0.250  0.500  0.02
Co  0.500  0.500  0.000  1.29
Co  0.250  0.750  0.500  1.30
Os  0.512  0.125  0.250  0.29
Os  0.238  0.625  0.250  0.28
Os  0.375  0.488  0.750  0.32
Os  0.875  0.762  0.750  0.30

Values from the calculation:
total magnetization: 3.89 Bohr magnetons per cell

Energetically preferred structure: *A* | next structure: +0.157 eV/atom

*A*
Here is a relaxed YCoOs2 crystal from Alexandria. Energies are from GGA-PBE.

Cell: 5.457 5.457 5.457 Å, 148.12 129.27 61.17°
Each line ends with the local moment (μB).
Fractional positions:
Co  0.225  0.725  0.500  1.50
Os  0.003  0.003  0.000  0.22
Os  0.774  0.274  0.500  0.12
Y  0.498  0.498  0.000  -0.03

Values from the calculation:
total magnetization: 1.80 Bohr magnetons per cell

*B*
Here is a relaxed YCoOs2 crystal from Alexandria. Energies are from GGA-PBE.

Cell: 4.225 2.892 5.519 Å, 74.81 90.00 90.00°
Fractional positions:
Co  0.500  0.929  0.767
Os  0.000  0.802  0.021
Os  0.500  0.227  0.171
Y  0.000  0.543  0.541

Values from the calculation:
total magnetization: 0.00 Bohr magnetons per cell

Energetically preferred structure: *B* | next structure: +0.204 eV/atom

*A*
Here is a relaxed YCoOs2 crystal from Alexandria. Energies are from GGA-PBE.

Cell: 4.692 4.692 4.692 Å, 126.89 126.89 78.44°
Each line ends with the local moment (μB).
Fractional positions:
Co  0.750  0.250  0.500  0.84
Os  0.000  0.000  0.000  0.10
Os  0.250  0.750  0.500  -0.15
Y  0.500  0.500  0.000  -0.03

Values from the calculation:
total magnetization: 0.75 Bohr magnetons per cell

*B*
Here is a relaxed YCoOs2 crystal from Alexandria. Energies are from GGA-PBE.

Cell: 2.843 3.780 6.148 Å, 90.00 90.00 90.00°
Each line ends with the local moment (μB).
Fractional positions:
Co  0.500  0.500  0.791  1.03
Os  0.000  0.000  0.005  0.10
Os  0.500  0.500  0.191  0.01
Y  0.000  0.000  0.512  -0.08

Values from the calculation:
total magnetization: 1.03 Bohr magnetons per cell

Energetically preferred structure: *B* | next structure: +0.147 eV/atom